{"formula": "Dy12CdIn3", "functional": "GGA-PBE", "state": "relaxed", "ef_ev_per_atom": -0.22, "space_group": "P4/mmm", "e_tot_ev_per_atom": -4.244, "magnetic_moment_mub_per_fu": 1.7, "cell": [[4.843, 0.000, 0.000], [0.000, 4.843, 0.000], [0.000, 0.000, 19.363]], "species": ["Dy", "Dy", "Dy", "Dy", "Dy", "Dy", "Dy", "Dy", "Dy", "Dy", "Dy", "Dy", "Cd", "In", "In", "In"], "fractional_positions": [[0.000, 0.000, 0.000], [0.000, 0.000, 0.250], [0.000, 0.000, 0.500], [0.000, 0.000, 0.750], [0.000, 0.500, 0.125], [0.000, 0.500, 0.375], [0.000, 0.500, 0.625], [0.000, 0.500, 0.875], [0.500, 0.000, 0.125], [0.500, 0.000, 0.375], [0.500, 0.000, 0.625], [0.500, 0.000, 0.875], [0.500, 0.500, 0.000], [0.500, 0.500, 0.250], [0.500, 0.500, 0.500], [0.500, 0.500, 0.750]]}

---

{"formula": "Dy2Cd3In2", "functional": "GGA-PBE", "state": "relaxed", "ef_ev_per_atom": -0.25, "space_group": "Cmmm", "e_tot_ev_per_atom": -2.737, "magnetic_moment_mub_per_fu": 0.0, "de_polymorph_ev_per_atom": 0.0343, "cell": [[4.676, 0.000, 0.000], [0.000, 21.968, 0.000], [0.000, 0.000, 3.432]], "species": ["Dy", "Dy", "Dy", "Dy", "Cd", "Cd", "Cd", "Cd", "Cd", "Cd", "In", "In", "In", "In"], "fractional_positions": [[0.000, 0.151, 0.000], [0.000, 0.849, 0.000], [0.500, 0.349, 0.000], [0.500, 0.651, 0.000], [0.000, 0.000, 0.000], [0.000, 0.431, 0.500], [0.000, 0.569, 0.500], [0.500, 0.069, 0.500], [0.500, 0.500, 0.000], [0.500, 0.931, 0.500], [0.000, 0.289, 0.500], [0.000, 0.711, 0.500], [0.500, 0.211, 0.500], [0.500, 0.789, 0.500]]}

---

{"formula": "DyCd14In", "functional": "GGA-PBE", "state": "relaxed", "ef_ev_per_atom": -0.04, "space_group": "P4/mmm", "e_tot_ev_per_atom": -1.300, "magnetic_moment_mub_per_fu": 0.0, "cell": [[6.603, 0.000, 0.000], [0.000, 6.603, 0.000], [0.000, 0.000, 8.608]], "species": ["Dy", "Cd", "Cd", "Cd", "Cd", "Cd", "Cd", "Cd", "Cd", "Cd", "Cd", "Cd", "Cd", "Cd", "Cd", "In"], "fractional_positions": [[0.000, 0.000, 0.000], [0.000, 0.000, 0.500], [0.000, 0.500, 0.000], [0.000, 0.500, 0.500], [0.250, 0.250, 0.258], [0.250, 0.250, 0.742], [0.250, 0.750, 0.258], [0.250, 0.750, 0.742], [0.500, 0.000, 0.000], [0.500, 0.000, 0.500], [0.500, 0.500, 0.500], [0.750, 0.250, 0.258], [0.750, 0.250, 0.742], [0.750, 0.750, 0.258], [0.750, 0.750, 0.742], [0.500, 0.500, 0.000]]}